Computed, not measured: RbP2RhS at its PBEsol-relaxed geometry at the meta-GGA SCAN level of DFT.

a b c (Å): 5.1128 5.1128 5.0133
angles (deg): 90.00 90.00 90.00
Last column: nearest neighbours and their distance in Å.
Fractional coordinates of all 5 atoms:
Rb  0.0000  0.0000  0.0000  2 S 2.51, 4 P 2.56
P  0.0000  0.5000  0.0000  2 Rb 2.56
P  0.5000  0.0000  0.0000  2 Rb 2.56
Rh  0.5000  0.5000  0.5000  8 P 3.58, 4 S 3.62
S  0.0000  0.0000  0.5000  2 Rb 2.51

Total moment = 0.600 μB per atom
ΔE_f (raw) = 2516.5 meV per atom